[1]
The following is a DFT calculation (PBE) of a relaxed Tm7Bi2Pt2 crystal.

extended XYZ file:
```
11
Lattice="-1.944 7.897 4.877 1.944 -7.897 4.877 1.944 7.897 -4.877" Properties=species:S:1:pos:R:3 pbc="T T T"
Tm 0.000 0.000 0.000
Tm 1.944 5.880 -0.738
Tm 1.944 2.948 1.295
Tm 0.000 2.018 4.139
Tm 0.000 5.566 2.750
Tm 0.000 10.229 2.750
Tm 0.000 4.949 6.172
Bi 1.944 0.000 2.544
Bi 0.000 0.000 6.532
Pt 1.944 -4.115 4.241
Pt 1.944 4.115 4.241
```

Summary:
**Size of the total moment**: 0.00 μB per atom
**ΔE_f**: -0.802 eV per atom
**Volume**: 300 Å³/cell
**Energy above the most stable polymorph in this dataset**: 0 meV per atom

=====

[2]
The following is a DFT calculation (PBE) of a relaxed KCa2Te crystal.

extended XYZ file:
```
4
Lattice="5.155 0.000 0.000 0.000 5.155 0.000 0.000 0.000 5.499" Properties=species:S:1:pos:R:3 pbc="T T T"
K 0.000 0.000 0.000
Ca 0.000 2.577 2.750
Ca 2.577 0.000 2.750
Te 2.577 2.577 0.000
```

Summary:
**Size of the total moment**: 0.00 μB per atom
**Volume**: 146 Å³/cell
**Raw formation energy**: -0.439 eV per atom

=====

[3]
The following is a DFT calculation (PBE) of a relaxed Sm7MnI12 crystal.

extended XYZ file:
```
20
Lattice="7.978 4.606 3.694 -7.978 4.606 3.694 0.000 -9.212 3.694" Properties=species:S:1:pos:R:3 pbc="T T T"
Sm 0.000 0.000 0.000
Sm -2.155 -0.590 4.028
Sm 1.589 -1.571 4.028
Sm 0.566 2.162 4.028
Sm -0.566 -2.162 7.055
Sm -1.589 1.571 7.055
Sm 2.155 0.590 7.055
Mn 0.000 0.000 5.542
I -0.624 -2.436 1.822
I -1.798 1.758 1.822
I -3.118 -3.205 5.476
I -4.334 1.098 5.607
I 2.422 0.678 1.822
I 1.216 -4.302 5.607
I -1.216 4.302 5.476
I -2.422 -0.678 9.261
I 4.334 -1.098 5.476
I 3.118 3.205 5.607
I 1.798 -1.758 9.261
I 0.624 2.436 9.261
```

Summary:
**Size of the total moment**: 0.11 μB per atom
**Volume**: 815 Å³/cell
**Raw formation energy**: -1.161 eV per atom

=====

[4]
The following is a DFT calculation (PBE) of a relaxed AgPPt2I crystal.

extended XYZ file:
```
5
Lattice="4.377 0.000 0.000 0.000 4.377 0.000 0.000 0.000 7.161" Properties=species:S:1:pos:R:3 pbc="T T T"
Ag 0.000 0.000 0.000
P 2.189 2.189 3.581
Pt 0.000 2.189 3.581
Pt 2.189 0.000 3.581
I 2.189 2.189 0.000
```

Summary:
**Size of the total moment**: 0.00 μB per atom
**Volume**: 137 Å³/cell
**Raw formation energy**: 0.283 eV per atom

=====

Which value of volume does entry 3 give? 815 Å³/cell

=====

Number 3 is which compound? Sm7MnI12

=====

What is the size of the total moment in the first record? 0.00 μB per atom

=====

What is the volume in the third record? 815 Å³/cell